Entry 1:
Density functional theory data (GGA-PBE) for a relaxed structure of Cs4K5Rb7.

abc: 14.304 14.304 14.304
angles: 134.96 134.96 65.60
Atoms (fractional coordinates):
1 Cs 0.117 0.625 0.000
2 Cs 0.375 0.375 0.492
3 Cs 0.625 0.117 0.000
4 Cs 0.883 0.883 0.508
5 K 0.000 0.000 0.000
6 K 0.250 0.750 0.500
7 K 0.253 0.253 0.000
8 K 0.747 0.747 0.000
9 K 0.750 0.250 0.500
10 Rb 0.000 0.500 0.500
11 Rb 0.117 0.117 0.494
12 Rb 0.377 0.883 0.000
13 Rb 0.500 0.000 0.500
14 Rb 0.500 0.500 0.000
15 Rb 0.623 0.623 0.506
16 Rb 0.883 0.377 0.000

***

Entry 2:
Density functional theory data (GGA-PBE) for a relaxed structure of CsK2Rb3.

abc: 12.744 12.744 10.867
angles: 90.07 90.07 36.74
Atoms (fractional coordinates):
1 Cs 0.091 0.091 0.372
2 Cs 0.909 0.909 0.628
3 K 0.259 0.259 0.628
4 K 0.420 0.420 0.882
5 K 0.580 0.580 0.118
6 K 0.741 0.741 0.372
7 Rb 0.087 0.087 0.881
8 Rb 0.258 0.258 0.122
9 Rb 0.420 0.420 0.367
10 Rb 0.580 0.580 0.633
11 Rb 0.742 0.742 0.878
12 Rb 0.913 0.913 0.119

***

Entry 3:
Density functional theory data (GGA-PBE) for a relaxed structure of Cs6KRb12.

Summary:
Polymorph energy (0 for the lowest one): 0.0086 eV per atom

abc: 12.399 12.399 12.399
angles: 92.48 92.48 92.48
Atoms (fractional coordinates):
1 Cs 0.222 0.756 0.379
2 Cs 0.244 0.621 0.778
3 Cs 0.379 0.222 0.756
4 Cs 0.621 0.778 0.244
5 Cs 0.756 0.379 0.222
6 Cs 0.778 0.244 0.621
7 K 0.500 0.500 0.500
8 Rb 0.029 0.293 0.963
9 Rb 0.037 0.971 0.707
10 Rb 0.129 0.355 0.443
11 Rb 0.293 0.963 0.029
12 Rb 0.355 0.443 0.129
13 Rb 0.443 0.129 0.355
14 Rb 0.557 0.871 0.645
15 Rb 0.645 0.557 0.871
16 Rb 0.707 0.037 0.971
17 Rb 0.871 0.645 0.557
18 Rb 0.963 0.029 0.293
19 Rb 0.971 0.707 0.037

***

| no. | ΔH_f (0 K) (eV per atom) |
| --- | --- |
| 1 | 0.01 |
| 2 | 0.01 |
| 3 | 0.02 |